The following is a PBE calculation of BaErMgAs2 after structural relaxation, from OQMD.

- total moment (μB/f.u.) = 0.037

Geometry as CIF:
```
data_BaErMgAs2
_chemical_formula_sum 'Ba2 Er2 Mg2 As4'
_cell_length_a 9.303
_cell_length_b 9.303
_cell_length_c 6.914
_cell_angle_alpha 90.00
_cell_angle_beta 90.00
_cell_angle_gamma 152.71
_space_group_name_H-M_alt 'P 1'
_space_group_IT_number 1
loop_
_space_group_symop_operation_xyz
'x,y,z'
loop_
_atom_site_label
_atom_site_type_symbol
_atom_site_fract_x
_atom_site_fract_y
_atom_site_fract_z
Ba1 Ba 0.197 0.803 0.500
Ba2 Ba 0.803 0.197 0.000
Er1 Er 0.026 0.974 0.795
Er2 Er 0.974 0.026 0.295
Mg1 Mg 0.400 0.600 0.625
Mg2 Mg 0.600 0.400 0.125
As1 As 0.162 0.838 0.999
As2 As 0.451 0.549 0.003
As3 As 0.549 0.451 0.503
As4 As 0.838 0.162 0.499
```

=====

The following is a PBE calculation of Ba2Zn2SbAsF2 after structural relaxation, from OQMD.

Geometry as CIF:
```
data_Ba2Zn2SbAsF2
_chemical_formula_sum 'Ba2 Zn2 Sb1 As1 F2'
_cell_length_a 4.320
_cell_length_b 4.320
_cell_length_c 9.580
_cell_angle_alpha 90.00
_cell_angle_beta 90.00
_cell_angle_gamma 90.00
_space_group_name_H-M_alt 'P 1'
_space_group_IT_number 1
loop_
_space_group_symop_operation_xyz
'x,y,z'
loop_
_atom_site_label
_atom_site_type_symbol
_atom_site_fract_x
_atom_site_fract_y
_atom_site_fract_z
Ba1 Ba 0.000 0.000 0.000
Ba2 Ba 0.500 0.500 0.319
Zn1 Zn 0.000 0.500 0.679
Zn2 Zn 0.500 0.000 0.679
Sb1 Sb 0.000 0.000 0.505
As1 As 0.500 0.500 0.833
F1 F 0.000 0.500 0.161
F2 F 0.500 0.000 0.161
```

=====

The following is a PBE calculation of BaFe8As4 after structural relaxation, from OQMD.

- total moment (μB/f.u.) = 16.746

Geometry as CIF:
```
data_BaFe8As4
_chemical_formula_sum 'Ba1 Fe8 As4'
_cell_length_a 7.534
_cell_length_b 7.534
_cell_length_c 7.534
_cell_angle_alpha 93.61
_cell_angle_beta 93.61
_cell_angle_gamma 150.93
_space_group_name_H-M_alt 'P 1'
_space_group_IT_number 1
loop_
_space_group_symop_operation_xyz
'x,y,z'
loop_
_atom_site_label
_atom_site_type_symbol
_atom_site_fract_x
_atom_site_fract_y
_atom_site_fract_z
Ba1 Ba 0.000 0.000 0.000
Fe1 Fe 0.020 0.623 0.643
Fe2 Fe 0.212 0.330 0.542
Fe3 Fe 0.330 0.788 0.118
Fe4 Fe 0.377 0.020 0.397
Fe5 Fe 0.623 0.980 0.603
Fe6 Fe 0.670 0.212 0.882
Fe7 Fe 0.788 0.670 0.458
Fe8 Fe 0.980 0.377 0.357
As1 As 0.246 0.569 0.815
As2 As 0.431 0.246 0.677
As3 As 0.569 0.754 0.323
As4 As 0.754 0.431 0.185
```

=====

The following is a PBE calculation of Ba2FeAs2 after structural relaxation, from OQMD.

- total moment (μB/f.u.) = 3.717

Geometry as CIF:
```
data_Ba2FeAs2
_chemical_formula_sum 'Ba4 Fe2 As4'
_cell_length_a 8.284
_cell_length_b 8.284
_cell_length_c 8.284
_cell_angle_alpha 130.00
_cell_angle_beta 69.55
_cell_angle_gamma 134.95
_space_group_name_H-M_alt 'P 1'
_space_group_IT_number 1
loop_
_space_group_symop_operation_xyz
'x,y,z'
loop_
_atom_site_label
_atom_site_type_symbol
_atom_site_fract_x
_atom_site_fract_y
_atom_site_fract_z
Ba1 Ba 0.141 0.192 0.334
Ba2 Ba 0.359 0.692 0.051
Ba3 Ba 0.641 0.308 0.949
Ba4 Ba 0.859 0.808 0.666
Fe1 Fe 0.250 0.750 0.500
Fe2 Fe 0.750 0.250 0.500
As1 As 0.103 0.693 0.796
As2 As 0.397 0.193 0.590
As3 As 0.603 0.807 0.410
As4 As 0.897 0.307 0.204
```

=====

The following is a PBE calculation of BaFeAs2Ir after structural relaxation, from OQMD.

- total moment (μB/f.u.) = 0.018

Geometry as CIF:
```
data_BaFeAs2Ir
_chemical_formula_sum 'Ba2 Fe2 As4 Ir2'
_cell_length_a 4.064
_cell_length_b 4.064
_cell_length_c 12.623
_cell_angle_alpha 90.00
_cell_angle_beta 90.00
_cell_angle_gamma 90.00
_space_group_name_H-M_alt 'P 1'
_space_group_IT_number 1
loop_
_space_group_symop_operation_xyz
'x,y,z'
loop_
_atom_site_label
_atom_site_type_symbol
_atom_site_fract_x
_atom_site_fract_y
_atom_site_fract_z
Ba1 Ba 0.000 0.000 0.000
Ba2 Ba 0.500 0.500 0.500
Fe1 Fe 0.000 0.500 0.250
Fe2 Fe 0.500 0.000 0.750
As1 As 0.000 0.000 0.353
As2 As 0.000 0.000 0.647
As3 As 0.500 0.500 0.147
As4 As 0.500 0.500 0.853
Ir1 Ir 0.000 0.500 0.750
Ir2 Ir 0.500 0.000 0.250
```

=====

The following is a PBE calculation of BaLiFeAs2 after structural relaxation, from OQMD.

- total moment (μB/f.u.) = 2.738

Geometry as CIF:
```
data_BaLiFeAs2
_chemical_formula_sum 'Ba2 Li2 Fe2 As4'
_cell_length_a 4.246
_cell_length_b 4.246
_cell_length_c 11.893
_cell_angle_alpha 90.00
_cell_angle_beta 90.00
_cell_angle_gamma 90.00
_space_group_name_H-M_alt 'P 1'
_space_group_IT_number 1
loop_
_space_group_symop_operation_xyz
'x,y,z'
loop_
_atom_site_label
_atom_site_type_symbol
_atom_site_fract_x
_atom_site_fract_y
_atom_site_fract_z
Ba1 Ba 0.000 0.000 0.000
Ba2 Ba 0.500 0.500 0.500
Li1 Li 0.000 0.500 0.750
Li2 Li 0.500 0.000 0.250
Fe1 Fe 0.000 0.500 0.250
Fe2 Fe 0.500 0.000 0.750
As1 As 0.000 0.000 0.355
As2 As 0.000 0.000 0.645
As3 As 0.500 0.500 0.145
As4 As 0.500 0.500 0.855
```

=====

The following is a PBE calculation of BaFeNiAs2 after structural relaxation, from OQMD.

- total moment (μB/f.u.) = 1.747

Geometry as CIF:
```
data_BaFeNiAs2
_chemical_formula_sum 'Ba2 Fe2 Ni2 As4'
_cell_length_a 4.075
_cell_length_b 4.075
_cell_length_c 12.147
_cell_angle_alpha 90.00
_cell_angle_beta 90.00
_cell_angle_gamma 90.00
_space_group_name_H-M_alt 'P 1'
_space_group_IT_number 1
loop_
_space_group_symop_operation_xyz
'x,y,z'
loop_
_atom_site_label
_atom_site_type_symbol
_atom_site_fract_x
_atom_site_fract_y
_atom_site_fract_z
Ba1 Ba 0.000 0.000 0.000
Ba2 Ba 0.500 0.500 0.500
Fe1 Fe 0.000 0.500 0.750
Fe2 Fe 0.500 0.000 0.250
Ni1 Ni 0.000 0.500 0.250
Ni2 Ni 0.500 0.000 0.750
As1 As 0.000 0.000 0.348
As2 As 0.000 0.000 0.652
As3 As 0.500 0.500 0.152
As4 As 0.500 0.500 0.848
```

=====

The following is a PBE calculation of Ba2FeAsS6 after structural relaxation, from OQMD.

- total moment (μB/f.u.) = 3.821

Geometry as CIF:
```
data_Ba2FeAsS6
_chemical_formula_sum 'Ba2 Fe1 As1 S6'
_cell_length_a 6.831
_cell_length_b 6.831
_cell_length_c 6.831
_cell_angle_alpha 60.00
_cell_angle_beta 60.00
_cell_angle_gamma 60.00
_space_group_name_H-M_alt 'P 1'
_space_group_IT_number 1
loop_
_space_group_symop_operation_xyz
'x,y,z'
loop_
_atom_site_label
_atom_site_type_symbol
_atom_site_fract_x
_atom_site_fract_y
_atom_site_fract_z
Ba1 Ba 0.250 0.250 0.250
Ba2 Ba 0.750 0.750 0.750
Fe1 Fe 0.000 0.000 0.000
As1 As 0.500 0.500 0.500
S1 S 0.244 0.244 0.756
S2 S 0.244 0.756 0.244
S3 S 0.244 0.756 0.756
S4 S 0.756 0.244 0.244
S5 S 0.756 0.244 0.756
S6 S 0.756 0.756 0.244
```

=====

Calculated DFT total energy, -44.83 -33.46 -90.08 -50.56 -62.70 -48.98 -56.26 -49.63 eV per cell (same order as the records).